Density functional theory data (PBE) for an optimized crystal structure of Pm3SmTe6.

Geometry as CIF:
```
data_Pm3SmTe6
_chemical_formula_sum 'Pm9 Sm3 Te18'
_space_group_name_H-M_alt 'R 3'
_space_group_IT_number 146
_space_group_name_Hall 'R 3'
_cell_length_a 7.8935
_cell_length_b 7.8935
_cell_length_c 21.4775
_cell_angle_alpha 90.00
_cell_angle_beta 90.00
_cell_angle_gamma 120.00
loop_
_atom_site_label
_atom_site_type_symbol
_atom_site_fract_x
_atom_site_fract_y
_atom_site_fract_z
_atom_site_occupancy
Pm1 Pm 0.0000 0.0000 0.0000 1
Pm2 Pm 0.0000 0.0000 0.1899 1
Pm3 Pm 0.0000 0.0000 0.4995 1
Sm1 Sm 0.0000 0.0000 0.6893 1
Te1 Te 0.9997 0.6909 0.5950 1
Te2 Te 0.0244 0.3552 0.7617 1
```

Output
**VASP energy**: -5.164 eV per atom
**Crystal system**: trigonal
**Raw formation energy**: -133 kJ per mole of atoms

=====

Density functional theory data (PBE) for an optimized crystal structure of AcTmS2.

Geometry as CIF:
```
data_AcTmS2
_chemical_formula_sum 'Ac3 Tm3 S6'
_space_group_name_H-M_alt 'R -3 m'
_space_group_IT_number 166
_space_group_name_Hall '-R 3 2"'
_cell_length_a 3.9652
_cell_length_b 3.9652
_cell_length_c 21.1131
_cell_angle_alpha 90.00
_cell_angle_beta 90.00
_cell_angle_gamma 120.00
loop_
_atom_site_label
_atom_site_type_symbol
_atom_site_fract_x
_atom_site_fract_y
_atom_site_fract_z
_atom_site_occupancy
Ac1 Ac 0.0000 0.0000 0.0000 1
Tm1 Tm 0.0000 0.0000 0.5000 1
S1 S 0.0000 0.0000 0.2370 1
```

Output
**VASP energy**: -6.172 eV per atom
**Crystal system**: trigonal
**Raw formation energy**: -189 kJ per mole of atoms

=====

Density functional theory data (PBE) for an optimized crystal structure of LiMnHg2.

Geometry as CIF:
```
data_LiMnHg2
_chemical_formula_sum 'Li2 Mn2 Hg4'
_space_group_name_H-M_alt 'I m m 2'
_space_group_IT_number 44
_cell_length_a 3.383
_cell_length_b 4.605
_cell_length_c 9.753
_cell_angle_alpha 90.00
_cell_angle_beta 90.00
_cell_angle_gamma 90.00
loop_
_space_group_symop_operation_xyz
'x,y,z'
'-x,-y,z'
'-x,y,z'
'x,-y,z'
'x+1/2,y+1/2,z+1/2'
'-x+1/2,-y+1/2,z+1/2'
'-x+1/2,y+1/2,z+1/2'
'x+1/2,-y+1/2,z+1/2'
loop_
_atom_site_label
_atom_site_type_symbol
_atom_site_fract_x
_atom_site_fract_y
_atom_site_fract_z
_atom_site_occupancy
Li1 Li 0.000 0.000 0.000 1
Mn1 Mn 0.000 0.500 0.760 1
Hg1 Hg 0.000 0.000 0.496 1
Hg2 Hg 0.000 0.500 0.253 1
```

Output
**Energy of formation**: 0.07 eV per atom
**VASP energy**: -2.849 eV per atom
**Crystal system**: orthorhombic